[1]
Here is a relaxed TaSiNi crystal from OQMD. Energies are from PBE.

Geometry as CIF:
```
data_TaSiNi
_chemical_formula_sum 'Ta4 Si4 Ni4'
_space_group_name_H-M_alt 'P n m a'
_space_group_IT_number 62
_cell_length_a 6.200
_cell_length_b 3.696
_cell_length_c 7.051
_cell_angle_alpha 90.00
_cell_angle_beta 90.00
_cell_angle_gamma 90.00
loop_
_space_group_symop_operation_xyz
'x,y,z'
'-x,-y,-z'
'-x+1/2,-y,z+1/2'
'x+1/2,y,-z+1/2'
'x+1/2,-y+1/2,-z+1/2'
'-x+1/2,y+1/2,z+1/2'
'-x,y+1/2,-z'
'x,-y+1/2,z'
loop_
_atom_site_label
_atom_site_type_symbol
_atom_site_fract_x
_atom_site_fract_y
_atom_site_fract_z
Ta1 Ta 0.015 0.250 0.178
Si1 Si 0.217 0.750 0.388
Ni1 Ni 0.159 0.250 0.573
```

Computed properties:
Crystal system: orthorhombic


[2]
Here is a relaxed PtS2 crystal from OQMD. Energies are from PBE.

Geometry as CIF:
```
data_PtS2
_chemical_formula_sum 'Pt1 S2'
_space_group_name_H-M_alt 'P -6 m 2'
_space_group_IT_number 187
_space_group_name_Hall 'P -6 2'
_cell_length_a 3.4728
_cell_length_b 3.4728
_cell_length_c 12.9123
_cell_angle_alpha 90.00
_cell_angle_beta 90.00
_cell_angle_gamma 120.00
loop_
_atom_site_label
_atom_site_type_symbol
_atom_site_fract_x
_atom_site_fract_y
_atom_site_fract_z
Pt1 Pt 0.0000 0.0000 0.0000
S1 S 0.6667 0.3333 0.1079
```

Computed properties:
Crystal system: hexagonal


Number 1: E -99.67 eV for the cell shown, size of the total moment 0.0 μB per formula unit. Number 2: E -13.59 eV for the cell shown, size of the total moment 0.0 μB per formula unit.